Record 1
## MnCoSe2N (PBE-GGA)

Data for a geometry-optimized MnCoSe2N structure.

For the raw formation energy, the calculation gives 0.51 eV/atom. For the energy above the most stable polymorph in this dataset, the calculation gives 0.178 eV/atom.

It has space group P4/mmm (No. 123), with a = 4.939 Å, b = 4.939 Å, c = 3.426 Å, α = 90.00°, β = 90.00° and γ = 90.00°. The asymmetric unit holds Mn at (0.000, 0.000, 0.000), Co at (0.500, 0.500, 0.500), Se at (0.000, 0.500, 0.000) and N at (0.000, 0.000, 0.500).

Record 2
## BaMgSc2 (PBE-GGA)

Data for a geometry-optimized BaMgSc2 structure.

The formation energy is 283 meV per atom.

It has space group Imm2 (No. 44), with a = 3.738 Å, b = 5.629 Å, c = 11.403 Å, α = 90.00°, β = 90.00° and γ = 90.00°. The asymmetric unit holds Ba at (0.000, 0.000, 0.000), Mg at (0.000, 0.500, 0.244), Sc at (0.000, 0.000, 0.526) and Sc at (0.000, 0.500, 0.787).

Record 3
## NaLiY2 (PBE-GGA)

Data for a geometry-optimized NaLiY2 structure.

The formation energy is 305 meV per atom. For the energy above the most stable polymorph in this dataset, the calculation gives 0.026 eV/atom.

It has space group Fm-3m (No. 225), with a = 7.736 Å, b = 7.736 Å, c = 7.736 Å, α = 90.00°, β = 90.00° and γ = 90.00°. The asymmetric unit holds Na at (0.000, 0.000, 0.000), Li at (0.000, 0.000, 0.500) and Y at (0.250, 0.250, 0.250).

Repeat the first record exactly.
## MnCoSe2N (PBE-GGA)

Data for a geometry-optimized MnCoSe2N structure.

For the raw formation energy, the calculation gives 0.51 eV/atom. For the energy above the most stable polymorph in this dataset, the calculation gives 0.178 eV/atom.

It has space group P4/mmm (No. 123), with a = 4.939 Å, b = 4.939 Å, c = 3.426 Å, α = 90.00°, β = 90.00° and γ = 90.00°. The asymmetric unit holds Mn at (0.000, 0.000, 0.000), Co at (0.500, 0.500, 0.500), Se at (0.000, 0.500, 0.000) and N at (0.000, 0.000, 0.500).